# 1
Below is a relaxed LaTaMn2 crystal, with properties calculated at the GGA-PBE level.

Properties
- Distance to the lowest polymorph of the same formula: 270 meV/atom
- V: 18.381 Å³ per atom
- Uncorrected energy: -33.30 eV/cell
- DFT formation energy: 0.454 eV/atom

Lattice parameters (Å, degrees): 4.7978 4.7944 3.1964 90.00 90.00 90.00
Sites, in units of the cell vectors:
La 0.0000 0.5000 0.5000
Mn 0.0000 0.0000 0.0000
Mn 0.5000 0.5000 0.0000
Ta 0.5000 0.0000 0.5000

---

# 2
Below is a relaxed LaTaMn2 crystal, with properties calculated at the GGA-PBE level.

Properties
- Distance to the lowest polymorph of the same formula: 620 meV/atom
- V: 22.613 Å³ per atom
- Uncorrected energy: -63.81 eV/cell
- DFT formation energy: 0.803 eV/atom

Lattice parameters (Å, degrees): 4.6592 4.6592 8.9611 74.93 74.93 90.00
Sites, in units of the cell vectors:
La 0.5000 0.5000 0.0000
La 0.2500 0.7500 0.5000
Mn 0.8749 0.1250 0.2500
Mn 0.8751 0.6250 0.2500
Mn 0.3750 0.1251 0.7500
Mn 0.8750 0.1249 0.7500
Ta 0.0000 0.0000 0.0000
Ta 0.7500 0.2500 0.5000

---

# 3
Below is a relaxed LaTaMn2 crystal, with properties calculated at the GGA-PBE level.

Properties
- Distance to the lowest polymorph of the same formula: 182 meV/atom
- V: 19.343 Å³ per atom
- Uncorrected energy: -33.66 eV/cell
- DFT formation energy: 0.365 eV/atom

Lattice parameters (Å, degrees): 4.2707 3.3538 5.6527 72.87 90.00 90.00
Sites, in units of the cell vectors:
La 0.5000 0.7801 0.8131
Mn 0.0000 0.1775 0.0194
Mn 0.5000 0.0414 0.2939
Ta 0.0000 0.5010 0.3736

---

# 4
Below is a relaxed LaTaMn2 crystal, with properties calculated at the GGA-PBE level.

Properties
- Distance to the lowest polymorph of the same formula: 355 meV/atom
- V: 19.600 Å³ per atom
- Uncorrected energy: -32.96 eV/cell
- DFT formation energy: 0.539 eV/atom

Lattice parameters (Å, degrees): 9.0500 9.0500 9.0500 20.34 20.34 20.34
Sites, in units of the cell vectors:
La 0.7500 0.7500 0.7500
Mn 0.9868 0.9868 0.9868
Mn 0.5132 0.5132 0.5132
Ta 0.2500 0.2500 0.2500

---

# 5
Below is a relaxed La2TaMn crystal, with properties calculated at the GGA-PBE level.

Properties
- Distance to the lowest polymorph of the same formula: 325 meV/atom
- V: 25.501 Å³ per atom
- Uncorrected energy: -28.62 eV/cell
- DFT formation energy: 0.565 eV/atom

Lattice parameters (Å, degrees): 8.4047 5.5147 3.3550 89.97 66.52 129.85
Sites, in units of the cell vectors:
La 0.0000 0.0000 0.0000
La 0.5000 0.0000 0.5000
Mn 0.0000 0.5000 0.5000
Ta 0.5000 0.5000 0.0000

---

# 6
Below is a relaxed La2TaMn crystal, with properties calculated at the GGA-PBE level.

Properties
- Distance to the lowest polymorph of the same formula: 0 meV/atom
- V: 24.191 Å³ per atom
- Uncorrected energy: -29.92 eV/cell
- DFT formation energy: 0.240 eV/atom

Lattice parameters (Å, degrees): 3.2658 3.2605 9.6714 69.99 90.00 90.00
Sites, in units of the cell vectors:
La 0.0000 0.0247 0.9473
La 0.5000 0.2239 0.3218
Mn 0.0000 0.4489 0.5511
Ta 0.5000 0.8025 0.6799

---

# 7
Below is a relaxed LaTaMn2 crystal, with properties calculated at the GGA-PBE level.

Properties
- Distance to the lowest polymorph of the same formula: 319 meV/atom
- V: 17.060 Å³ per atom
- Uncorrected energy: -33.11 eV/cell
- DFT formation energy: 0.502 eV/atom

Lattice parameters (Å, degrees): 4.5869 4.5869 4.5869 60.00 60.00 60.00
Sites, in units of the cell vectors:
La 0.0000 0.0000 0.0000
Mn 0.2500 0.2500 0.2500
Mn 0.7500 0.7500 0.7500
Ta 0.5000 0.5000 0.5000

---

# 8
Below is a relaxed LaTaMn2 crystal, with properties calculated at the GGA-PBE level.

Properties
- Distance to the lowest polymorph of the same formula: 237 meV/atom
- V: 20.375 Å³ per atom
- Uncorrected energy: -33.44 eV/cell
- DFT formation energy: 0.421 eV/atom

Lattice parameters (Å, degrees): 4.3996 4.3996 6.3953 82.43 82.43 41.68
Sites, in units of the cell vectors:
La 0.7500 0.7500 0.7500
Mn 0.9869 0.9869 0.0806
Mn 0.5131 0.5131 0.4194
Ta 0.2500 0.2500 0.2500

---

# 9
Below is a relaxed La2TaMn crystal, with properties calculated at the GGA-PBE level.

Properties
- Distance to the lowest polymorph of the same formula: 347 meV/atom
- V: 23.614 Å³ per atom
- Uncorrected energy: -28.53 eV/cell
- DFT formation energy: 0.586 eV/atom

Lattice parameters (Å, degrees): 5.1119 5.1119 5.1119 60.00 60.00 60.00
Sites, in units of the cell vectors:
La 0.0000 0.0000 0.0000
La 0.2500 0.2500 0.2500
Mn 0.5000 0.5000 0.5000
Ta 0.7500 0.7500 0.7500

---

# 10
Below is a relaxed La2TaMn crystal, with properties calculated at the GGA-PBE level.

Properties
- Distance to the lowest polymorph of the same formula: 221 meV/atom
- V: 24.487 Å³ per atom
- Uncorrected energy: -29.03 eV/cell
- DFT formation energy: 0.461 eV/atom

Lattice parameters (Å, degrees): 9.8605 9.8605 9.8605 19.98 19.98 19.98
Sites, in units of the cell vectors:
La 0.9910 0.9910 0.9910
La 0.7676 0.7676 0.7676
Mn 0.5109 0.5109 0.5109
Ta 0.2305 0.2305 0.2305

---

# 11
Below is a relaxed La2TaMn crystal, with properties calculated at the GGA-PBE level.

Properties
- Distance to the lowest polymorph of the same formula: 112 meV/atom
- V: 24.626 Å³ per atom
- Uncorrected energy: -29.47 eV/cell
- DFT formation energy: 0.352 eV/atom

Lattice parameters (Å, degrees): 6.2844 6.2844 5.1988 65.59 65.59 32.10
Sites, in units of the cell vectors:
La 0.9937 0.9937 0.0063
La 0.7807 0.7807 0.7195
Mn 0.5371 0.5371 0.4625
Ta 0.1884 0.1884 0.3116

---

# 12
Below is a relaxed La2TaMn crystal, with properties calculated at the GGA-PBE level.

Properties
- Distance to the lowest polymorph of the same formula: 626 meV/atom
- V: 23.444 Å³ per atom
- Uncorrected energy: -27.42 eV/cell
- DFT formation energy: 0.865 eV/atom

Lattice parameters (Å, degrees): 5.0996 5.0996 5.0996 60.00 60.00 60.00
Sites, in units of the cell vectors:
La 0.2500 0.2500 0.2500
La 0.7500 0.7500 0.7500
Mn 0.0000 0.0000 0.0000
Ta 0.5000 0.5000 0.5000

---

# 13
Below is a relaxed LaTaMn crystal, with properties calculated at the GGA-PBE level.

Properties
- Distance to the lowest polymorph of the same formula: 214 meV/atom
- V: 23.376 Å³ per atom
- Uncorrected energy: -24.39 eV/cell
- DFT formation energy: 0.519 eV/atom

Lattice parameters (Å, degrees): 4.3405 4.3405 4.2982 90.00 90.00 120.00
Sites, in units of the cell vectors:
La 0.0000 0.0000 0.0001
Mn 0.6667 0.3333 0.4998
Ta 0.3333 0.6667 0.5001

---

# 14
Below is a relaxed La2TaMn crystal, with properties calculated at the GGA-PBE level.

Properties
- Distance to the lowest polymorph of the same formula: 153 meV/atom
- V: 26.478 Å³ per atom
- Uncorrected energy: -29.31 eV/cell
- DFT formation energy: 0.392 eV/atom

Lattice parameters (Å, degrees): 8.7616 8.7616 3.8957 77.13 77.13 21.32
Sites, in units of the cell vectors:
La 0.0989 0.0989 0.9016
La 0.4011 0.4011 0.5984
Mn 0.7500 0.7500 0.7500
Ta 0.2500 0.2500 0.2500

---

# 15
Below is a relaxed LaTaMn2 crystal, with properties calculated at the GGA-PBE level.

Properties
- Distance to the lowest polymorph of the same formula: 408 meV/atom
- V: 18.072 Å³ per atom
- Uncorrected energy: -32.75 eV/cell
- DFT formation energy: 0.591 eV/atom

Lattice parameters (Å, degrees): 4.6752 4.6752 4.6752 119.97 119.97 90.05
Sites, in units of the cell vectors:
La 0.7500 0.2500 0.5000
Mn 0.0000 0.0000 0.0000
Mn 0.2500 0.7500 0.5000
Ta 0.5000 0.5000 0.0000

---

# 16
Below is a relaxed LaTaMn2 crystal, with properties calculated at the GGA-PBE level.

Properties
- Distance to the lowest polymorph of the same formula: 164 meV/atom
- V: 18.524 Å³ per atom
- Uncorrected energy: -33.73 eV/cell
- DFT formation energy: 0.348 eV/atom

Lattice parameters (Å, degrees): 3.0032 3.0032 8.2154 90.00 90.00 90.01
Sites, in units of the cell vectors:
La 0.5000 0.5000 0.7762
Mn 0.0000 0.0000 0.0722
Mn 0.5000 0.5000 0.2154
Ta 0.0000 0.0000 0.4362

---

# 17
Below is a relaxed LaTaMn crystal, with properties calculated at the GGA-PBE level.

Properties
- Distance to the lowest polymorph of the same formula: 1250 meV/atom
- V: 24.217 Å³ per atom
- Uncorrected energy: -21.28 eV/cell
- DFT formation energy: 1.555 eV/atom

Lattice parameters (Å, degrees): 4.6837 4.6837 4.6837 60.00 60.00 60.00
Sites, in units of the cell vectors:
La 0.7500 0.7500 0.7500
Mn 0.0000 0.0000 0.0000
Ta 0.5000 0.5000 0.5000

---

# 18
Below is a relaxed LaTaMn crystal, with properties calculated at the GGA-PBE level.

Properties
- Distance to the lowest polymorph of the same formula: 0 meV/atom
- V: 20.885 Å³ per atom
- Uncorrected energy: -25.03 eV/cell
- DFT formation energy: 0.305 eV/atom

Lattice parameters (Å, degrees): 6.4949 6.4949 6.4949 151.40 151.40 40.89
Sites, in units of the cell vectors:
La 0.9878 0.9878 0.0000
Mn 0.3008 0.3008 0.0000
Ta 0.7114 0.7114 0.0000

---

# 19
Below is a relaxed La2TaMn crystal, with properties calculated at the GGA-PBE level.

Properties
- Distance to the lowest polymorph of the same formula: 627 meV/atom
- V: 25.305 Å³ per atom
- Uncorrected energy: -54.82 eV/cell
- DFT formation energy: 0.866 eV/atom

Lattice parameters (Å, degrees): 8.2166 8.2166 6.5382 51.07 51.07 90.00
Sites, in units of the cell vectors:
La 0.6086 0.1250 0.2500
La 0.1414 0.6250 0.2500
La 0.3750 0.3914 0.7500
La 0.8750 0.8586 0.7500
Mn 0.5000 0.5000 0.0000
Mn 0.2500 0.7500 0.5000
Ta 0.0000 0.0000 0.0000
Ta 0.7500 0.2500 0.5000

---

# 20
Below is a relaxed LaTaMn2 crystal, with properties calculated at the GGA-PBE level.

Properties
- Distance to the lowest polymorph of the same formula: 274 meV/atom
- V: 20.072 Å³ per atom
- Uncorrected energy: -33.29 eV/cell
- DFT formation energy: 0.458 eV/atom

Lattice parameters (Å, degrees): 4.8651 4.8651 5.4472 79.75 79.75 39.36
Sites, in units of the cell vectors:
La 0.7409 0.7409 0.7776
Mn 0.9800 0.9800 0.0715
Mn 0.2535 0.2535 0.2565
Ta 0.5256 0.5256 0.3944

---

# 21
Below is a relaxed LaTaMn crystal, with properties calculated at the GGA-PBE level.

Properties
- Distance to the lowest polymorph of the same formula: 380 meV/atom
- V: 21.768 Å³ per atom
- Uncorrected energy: -23.90 eV/cell
- DFT formation energy: 0.685 eV/atom

Lattice parameters (Å, degrees): 4.5201 4.5201 4.5201 60.00 60.00 60.00
Sites, in units of the cell vectors:
La 0.5000 0.5000 0.5000
Mn 0.7500 0.7500 0.7500
Ta 0.0000 0.0000 0.0000

---

# 22
Below is a relaxed LaTaMn3 crystal, with properties calculated at the GGA-PBE level.

Properties
- Distance to the lowest polymorph of the same formula: 1073 meV/atom
- V: 17.961 Å³ per atom
- Uncorrected energy: -35.23 eV/cell
- DFT formation energy: 1.812 eV/atom

Lattice parameters (Å, degrees): 4.4781 4.4781 4.4781 90.00 90.00 90.00
Sites, in units of the cell vectors:
La 0.0000 0.0000 0.0000
Mn 0.0000 0.5000 0.0000
Mn 0.0000 0.0000 0.5000
Mn 0.5000 0.0000 0.0000
Ta 0.5000 0.5000 0.5000

---

# 23
Below is a relaxed LaTa2Mn2 crystal, with properties calculated at the GGA-PBE level.

Properties
- Distance to the lowest polymorph of the same formula: 246 meV/atom
- V: 19.642 Å³ per atom
- Uncorrected energy: -44.93 eV/cell
- DFT formation energy: 0.408 eV/atom

Lattice parameters (Å, degrees): 4.1842 4.1842 6.3419 70.74 70.74 90.00
Sites, in units of the cell vectors:
La 0.0000 0.0000 0.0000
Mn 0.7500 0.2500 0.5000
Mn 0.2500 0.7500 0.5000
Ta 0.3640 0.3640 0.2720
Ta 0.6360 0.6360 0.7280

---

# 24
Below is a relaxed La2TaMn crystal, with properties calculated at the GGA-PBE level.

Properties
- Distance to the lowest polymorph of the same formula: 435 meV/atom
- V: 23.641 Å³ per atom
- Uncorrected energy: -28.18 eV/cell
- DFT formation energy: 0.674 eV/atom

Lattice parameters (Å, degrees): 5.2233 3.1550 5.7919 82.20 90.00 90.00
Sites, in units of the cell vectors:
La 0.0000 0.0461 0.0086
La 0.0000 0.4539 0.4914
Mn 0.5000 0.2500 0.2500
Ta 0.5000 0.7500 0.7500

---

# 25
Below is a relaxed LaTaMn2 crystal, with properties calculated at the GGA-PBE level.

Properties
- Distance to the lowest polymorph of the same formula: 0 meV/atom
- V: 19.039 Å³ per atom
- Uncorrected energy: -34.38 eV/cell
- DFT formation energy: 0.184 eV/atom

Lattice parameters (Å, degrees): 3.2219 3.1993 8.0511 66.59 90.00 90.00
Sites, in units of the cell vectors:
La 0.5000 0.7500 0.7500
Mn 0.0000 0.9362 0.0634
Mn 0.0000 0.5638 0.4366
Ta 0.5000 0.2500 0.2500

---

# 26
Below is a relaxed La2TaMn crystal, with properties calculated at the GGA-PBE level.

Properties
- Distance to the lowest polymorph of the same formula: 406 meV/atom
- V: 24.777 Å³ per atom
- Uncorrected energy: -28.29 eV/cell
- DFT formation energy: 0.646 eV/atom

Lattice parameters (Å, degrees): 10.4016 10.4016 10.4016 18.51 18.51 18.51
Sites, in units of the cell vectors:
La 0.0020 0.0020 0.0020
La 0.4980 0.4980 0.4980
Mn 0.7500 0.7500 0.7500
Ta 0.2500 0.2500 0.2500

---

# 27
Below is a relaxed LaTaMn crystal, with properties calculated at the GGA-PBE level.

Properties
- Distance to the lowest polymorph of the same formula: 203 meV/atom
- V: 19.904 Å³ per atom
- Uncorrected energy: -24.43 eV/cell
- DFT formation energy: 0.508 eV/atom

Lattice parameters (Å, degrees): 7.5259 7.2579 3.0542 83.05 73.20 23.76
Sites, in units of the cell vectors:
La 0.9860 0.9860 0.0140
Mn 0.3188 0.3188 0.6812
Ta 0.6952 0.6952 0.3048

---

# 28
Below is a relaxed LaTaMn2Zn crystal, with properties calculated at the GGA-PBE level.

Properties
- V: 26.118 Å³ per atom
- Uncorrected energy: -31.10 eV/cell
- DFT formation energy: 1.060 eV/atom

Lattice parameters (Å, degrees): 4.7987 5.6711 4.7987 90.00 90.00 90.00
Sites, in units of the cell vectors:
Zn 0.5000 0.5000 0.5000
La 0.0000 0.5000 0.0000
Mn 0.0000 0.0000 0.5000
Mn 0.5000 0.0000 0.0000
Ta 0.0000 0.0000 0.0000

---

# 29
Below is a relaxed La3TbMn crystal, with properties calculated at the GGA-PBE level.

Properties
- V: 31.637 Å³ per atom
- Uncorrected energy: -27.45 eV/cell
- DFT formation energy: 0.227 eV/atom

Lattice parameters (Å, degrees): 5.4083 5.4083 5.4083 90.00 90.00 90.00
Sites, in units of the cell vectors:
Mn 0.0000 0.0000 0.0000
Tb 0.5000 0.5000 0.5000
La 0.0000 0.5000 0.0000
La 0.0000 0.0000 0.5000
La 0.5000 0.0000 0.0000

---

# 30
Below is a relaxed LaTbMnZn crystal, with properties calculated at the GGA-PBE level.

Properties
- V: 24.327 Å³ per atom
- Uncorrected energy: -20.02 eV/cell
- DFT formation energy: -0.006 eV/atom

Lattice parameters (Å, degrees): 5.1628 5.1628 5.1628 60.00 60.00 60.00
Sites, in units of the cell vectors:
Zn 0.5000 0.5000 0.5000
Mn 0.0000 0.0000 0.0000
Tb 0.7500 0.7500 0.7500
La 0.2500 0.2500 0.2500